Record 1
The following is a DFT calculation (PBE-GGA) of a relaxed FeAg2Rh crystal.

a b c (Å): 2.7429 2.7429 8.2506
angles (deg): 90.00 90.00 90.00
Atoms (fractional coordinates):
Fe 0.0000 0.0000 0.0000
Ag 0.5000 0.5000 0.2430
Ag 0.5000 0.5000 0.7570
Rh 0.0000 0.0000 0.5000

* formation energy: 367 meV per atom
* total DFT energy (no corrections): -5.012 eV/atom

Record 2
The following is a DFT calculation (PBE-GGA) of a relaxed FeAgRh2 crystal.

a b c (Å): 3.9455 3.9455 3.7818
angles (deg): 90.00 90.00 90.00
Atoms (fractional coordinates):
Fe 0.0000 0.0000 0.0000
Ag 0.5000 0.5000 0.0000
Rh 0.0000 0.5000 0.5000
Rh 0.5000 0.0000 0.5000

* formation energy: 213 meV per atom
* total DFT energy (no corrections): -6.292 eV/atom

Record 3
The following is a DFT calculation (PBE-GGA) of a relaxed FeAgRh2 crystal.

a b c (Å): 4.3846 4.3846 4.3846
angles (deg): 60.00 60.00 60.00
Atoms (fractional coordinates):
Fe 0.0000 0.0000 0.0000
Ag 0.5000 0.5000 0.5000
Rh 0.2500 0.2500 0.2500
Rh 0.7500 0.7500 0.7500

* formation energy: 244 meV per atom
* total DFT energy (no corrections): -6.260 eV/atom

Record 4
The following is a DFT calculation (PBE-GGA) of a relaxed Fe2AgRh2 crystal.

a b c (Å): 5.7322 5.7322 5.7322
angles (deg): 140.59 140.59 56.95
Atoms (fractional coordinates):
Fe 0.1021 0.1021 0.0000
Fe 0.8979 0.8979 0.0000
Ag 0.5000 0.5000 0.0000
Rh 0.2500 0.7500 0.5000
Rh 0.7500 0.2500 0.5000

* formation energy: 419 meV per atom
* total DFT energy (no corrections): -6.477 eV/atom

Record 5
The following is a DFT calculation (PBE-GGA) of a relaxed FeAgRh2 crystal.

a b c (Å): 4.7996 4.7996 4.7552
angles (deg): 103.16 103.16 33.55
Atoms (fractional coordinates):
Fe 0.0000 0.0000 0.0000
Ag 0.5000 0.5000 0.5000
Rh 0.2646 0.2646 0.7663
Rh 0.7354 0.7354 0.2337

* formation energy: 151 meV per atom
* total DFT energy (no corrections): -6.353 eV/atom

Record 6
The following is a DFT calculation (PBE-GGA) of a relaxed Fe2AgRh crystal.

a b c (Å): 4.3929 4.3929 2.9784
angles (deg): 90.00 90.00 90.00
Atoms (fractional coordinates):
Fe 0.0000 0.5000 0.0000
Fe 0.5000 0.0000 0.0000
Ag 0.0000 0.0000 0.5000
Rh 0.5000 0.5000 0.5000

* formation energy: 263 meV per atom
* total DFT energy (no corrections): -6.519 eV/atom